(1)
Density functional theory data (PBE) for a relaxed Os2Pt crystal.

Values from the calculation:
energy above the lowest structure with this stoichiometry = 0 meV per atom
volume = 15.84 Å³ per atom
calculated total energy = -207.785 eV per cell
calculated formation energy = 81.51 kJ/mol of atoms

Cell lengths 7.2440, 7.2440, 7.2440 Å; angles 90.00, 90.00, 90.00 degrees
With the nearest neighbours (Å) after each atom.
Space group Fd-3m (No. 227, origin choice 2)
Unique sites:
Os 0.0000 0.0000 0.0000 x16  6 Os 2.56
Pt 0.1250 0.1250 0.6250 x8  12 Os 3.00, 4 Pt 3.14


(2)
Density functional theory data (PBE) for a relaxed Os2Pt crystal.

Values from the calculation:
energy above the lowest structure with this stoichiometry = 2961 meV per atom
volume = 58.07 Å³ per atom
calculated total energy = -136.728 eV per cell
calculated formation energy = 367.17 kJ/mol of atoms

Cell lengths 11.1698, 11.1698, 11.1698 Å; angles 90.00, 90.00, 90.00 degrees
With the nearest neighbours (Å) after each atom.
Space group Fd-3m (No. 227, origin choice 2)
Unique sites:
Os 0.0000 0.0000 0.0000 x16  2 Pt 2.42
Pt 0.1250 0.1250 0.1250 x8  4 Os 2.42


(3)
Density functional theory data (PBE) for a relaxed PuOsPt crystal.

Values from the calculation:
energy above the lowest structure with this stoichiometry = 132 meV per atom
volume = 21.14 Å³ per atom
calculated total energy = -122.447 eV per cell
calculated formation energy = 25.62 kJ/mol of atoms

Cell lengths 6.3302, 6.3302, 6.3302 Å; angles 90.00, 90.00, 90.00 degrees
With the nearest neighbours (Å) after each atom.
Space group F-43m (No. 216)
Unique sites:
Pu 0.0000 0.0000 0.0000 x4  4 Pt 2.74, 4 Os 2.74
Os 0.2500 0.2500 0.7500 x4  4 Pu 2.74
Pt 0.2500 0.2500 0.2500 x4  4 Pu 2.74


(4)
Density functional theory data (PBE) for a relaxed PuOsPt crystal.

Values from the calculation:
energy above the lowest structure with this stoichiometry = 0 meV per atom
volume = 20.53 Å³ per atom
calculated total energy = -124.036 eV per cell
calculated formation energy = 12.84 kJ/mol of atoms

Cell lengths 6.2688, 6.2688, 6.2688 Å; angles 90.00, 90.00, 90.00 degrees
With the nearest neighbours (Å) after each atom.
Space group F-43m (No. 216)
Unique sites:
Pu 0.0000 0.0000 0.0000 x4  4 Os 2.71
Os 0.2500 0.2500 0.7500 x4  4 Pu 2.71, 4 Pt 2.71
Pt 0.0000 0.0000 0.5000 x4  4 Os 2.71


(5)
Density functional theory data (PBE) for a relaxed RbOsPt crystal.

Values from the calculation:
energy above the lowest structure with this stoichiometry = 950 meV per atom
volume = 25.38 Å³ per atom
calculated total energy = -40.047 eV per cell

Cell lengths 6.7280, 6.7280, 6.7280 Å; angles 90.00, 90.00, 90.00 degrees
With the nearest neighbours (Å) after each atom.
Space group F-43m (No. 216)
Unique sites:
Rb 0.0000 0.0000 0.0000 x4  4 Os 2.91, 4 Pt 2.91
Os 0.2500 0.2500 0.7500 x4  4 Rb 2.91
Pt 0.2500 0.2500 0.2500 x4  4 Rb 2.91


(6)
Density functional theory data (PBE) for a relaxed RbOsPt crystal.

Values from the calculation:
energy above the lowest structure with this stoichiometry = 0 meV per atom
volume = 23.51 Å³ per atom
calculated total energy = -51.442 eV per cell

Cell lengths 6.5583, 6.5583, 6.5583 Å; angles 90.00, 90.00, 90.00 degrees
With the nearest neighbours (Å) after each atom.
Space group F-43m (No. 216)
Unique sites:
Rb 0.0000 0.0000 0.0000 x4  4 Os 2.84
Os 0.2500 0.2500 0.7500 x4  4 Rb 2.84, 4 Pt 2.84
Pt 0.0000 0.0000 0.5000 x4  4 Os 2.84


(7)
Density functional theory data (PBE) for a relaxed Re6OsPt crystal.

Values from the calculation:
volume = 14.77 Å³ per atom
calculated total energy = -92.842 eV per cell
calculated formation energy = -12.35 kJ/mol of atoms

Cell lengths 5.5574, 5.5574, 4.4168 Å; angles 90.00, 90.00, 120.00 degrees
With the nearest neighbours (Å) after each atom.
Space group P-6m2 (No. 187)
Unique sites:
Re 0.0090 0.5045 0.0000 x3  8 Re 2.70-2.85, 2 Pt 2.76, 2 Os 2.78
Re 0.1717 0.3433 0.5000 x3  8 Re 2.70-2.86, 2 Os 2.76, 2 Pt 2.78
Os 0.0000 0.0000 0.0000 x1  12 Re 2.76-2.78
Pt 0.6667 0.3333 0.5000 x1  12 Re 2.76-2.78


(8)
Density functional theory data (PBE) for a relaxed ReOs6Pt crystal.

Values from the calculation:
volume = 14.41 Å³ per atom
calculated total energy = -85.564 eV per cell
calculated formation energy = 3.25 kJ/mol of atoms

Cell lengths 5.5235, 5.5235, 4.3622 Å; angles 90.00, 90.00, 120.00 degrees
With the nearest neighbours (Å) after each atom.
Space group P-6m2 (No. 187)
Unique sites:
Re 0.0000 0.0000 0.0000 x1  12 Os 2.71-2.76
Os 0.1683 0.3366 0.5000 x3  8 Os 2.70-2.79, 2 Re 2.71, 2 Pt 2.76
Os 0.5011 0.0021 0.0000 x3  2 Pt 2.70, 8 Os 2.70-2.78, 2 Re 2.76
Pt 0.6667 0.3333 0.5000 x1  12 Os 2.70-2.76


Question: Which of these has the lowest calculated total energy?
Answer: number 1